Record 1
First-principles (GGA-PBE) data for a relaxed La6GeIr2 crystal, as listed in OQMD.

It has space group P-62m (No. 189), with a = 7.8718 Å, b = 7.8718 Å, c = 4.7205 Å, α = 90.00°, β = 90.00° and γ = 120.00°. Symmetry generates all atoms from La at (0.0000, 0.3975, 0.0000), La at (0.0000, 0.7191, 0.5000), Ge at (0.0000, 0.0000, 0.0000) and Ir at (0.3333, 0.6667, 0.5000).

Record 2
First-principles (GGA-PBE) data for a relaxed AcUTa crystal, as listed in OQMD.

The formation enthalpy at 0 K is 1555 meV/atom.

It has space group F-43m (No. 216), with a = 7.051 Å, b = 7.051 Å, c = 7.051 Å, α = 90.00°, β = 90.00° and γ = 90.00°. Symmetry generates all atoms from Ac at (0.000, 0.000, 0.000), U at (0.250, 0.250, 0.250) and Ta at (0.000, 0.000, 0.500).

Uncorrected energy: -6.27, -7.53 (eV/atom)
Total magnetization: 0.1, 11.9 (μB/cell)